Material: CrCl
Method: DFT, PBE
State: relaxed

Output
Crystal system: monoclinic
DOS at the Fermi energy (states/eV/f.u.): 0.84
DFT total energy (eV/atom): -6.047

a = 6.2939 Å, b = 6.2939 Å, c = 6.2782 Å
α = 108.50°, β = 108.50°, γ = 30.45°
Sites, in units of the cell vectors:
Cr 0.0000 0.0000 0.0000
Cr 0.5235 0.5235 0.6005
Cr 0.8692 0.8692 0.6508
Cl 0.1980 0.1980 0.5304
Cl 0.4220 0.4220 0.1999
Cl 0.6462 0.6462 0.9880